CuRh3 | GGA-PBEsol | relaxed

The structure belongs to space group Imm2 (No. 44); the cell edges are 2.6658, 8.5706 and 4.5859 Å and the angles 90.00°, 90.00° and 90.00°. The inequivalent atoms are Cu at (0.0000, 0.0000, 0.0000), Rh at (0.0000, 0.2491, 0.3316) and Rh at (0.0000, 0.5000, 0.9993).

For the total moment, the calculation gives 0.00 μB/cell. As for the formation energy: 0.076 eV/atom.